{"formula": "CdPb2", "functional": "PBEsol", "state": "optimized geometry", "lattice_angstrom": [[-0.953, 4.715, 2.453], [-0.298, -4.608, 2.798], [6.283, 0.496, 1.487]], "species": ["Cd", "Pb", "Pb", "Cd", "Pb", "Pb"], "frac_coords": [[0.333, 0.667, 0.250], [0.667, 0.333, 0.250], [0.000, 0.000, 0.000], [0.667, 0.333, 0.750], [0.000, 0.000, 0.500], [0.333, 0.667, 0.750]], "dft_energy_ev_per_cell": -17.96, "formation_enthalpy_0k_ev_per_atom": 0.071, "e_above_lowest_polymorph_ev_per_atom": 0.037, "spacegroup": "P6_3/mmc (194)"}